A plane-wave DFT calculation with GGA-PBE was carried out for crystalline SiAs2Cl at its relaxed geometry.

## Properties
Formation energy without anion corrections in eV/f.u.: 1.224
Polymorph energy (0 for the lowest one) in meV/atom: 359
N(E_F) in states/eV per cell: 2.275
VASP energy in eV/atom: -3.84

Lattice parameters (Å, degrees): 3.1805 3.1805 10.3739 90.00 90.00 116.16
Last column: nearest neighbours and their distance in Å.
Fractional coordinates of all 4 atoms:
As 0.0000 0.0000 0.0221  2 As 2.48
As 0.5000 0.5000 0.1976  2 As 2.48
Cl 0.0000 0.0000 0.5542  2 Si 2.45
Si 0.5000 0.5000 0.7262  2 Cl 2.45